[1]
Below is SrTe3 after structural relaxation, with properties calculated at the GGA-PBE level.

Lattice parameters (Å, degrees): 7.282 7.282 7.282 40.02 40.02 40.02
Element x y z (fractional)
Te 0.244 0.244 0.244
Te 0.756 0.756 0.756
Te 0.500 0.500 0.500
Sr 0.000 0.000 0.000

## Properties
**E_tot**: -0.24095 Ry/atom
**Calculated density**: 5.43 g cm⁻³

[2]
Below is SrTe after structural relaxation, with properties calculated at the GGA-PBE level.

Lattice parameters (Å, degrees): 12.400 12.400 12.400 25.30 25.30 25.30
Element x y z (fractional)
Te 0.298 0.298 0.298
Te 0.452 0.452 0.452
Sr 0.965 0.965 0.965
Sr 0.785 0.785 0.785

## Properties
**E_tot**: -0.25987 Ry/atom
**Calculated density**: 2.33 g cm⁻³

[3]
Below is SrTe after structural relaxation, with properties calculated at the GGA-PBE level.

Lattice parameters (Å, degrees): 4.591 4.591 4.218 90.00 90.00 120.00
Element x y z (fractional)
Te 0.667 0.333 0.500
Sr 0.000 0.000 0.000

## Properties
**E_tot**: -0.29535 Ry/atom
**Calculated density**: 4.64 g cm⁻³

[4]
Below is SrTe after structural relaxation, with properties calculated at the GGA-PBE level.

Lattice parameters (Å, degrees): 7.850 7.850 7.850 146.55 144.93 49.24
Element x y z (fractional)
Te 0.246 0.746 0.500
Te 0.504 0.504 0.000
Sr 0.008 0.008 0.000
Sr 0.742 0.242 0.500

## Properties
**E_tot**: -0.27991 Ry/atom
**Calculated density**: 4.69 g cm⁻³

[5]
Below is Sr2Te after structural relaxation, with properties calculated at the GGA-PBE level.

Lattice parameters (Å, degrees): 8.360 8.360 7.896 70.41 70.41 29.77
Element x y z (fractional)
Sr 0.716 0.716 0.785
Sr 0.982 0.982 0.753
Sr 0.018 0.018 0.247
Sr 0.284 0.284 0.215
Te 0.372 0.372 0.543
Te 0.628 0.628 0.457

## Properties
**E_tot**: -0.23496 Ry/atom
**Calculated density**: 3.91 g cm⁻³

[6]
Below is SrTe3 after structural relaxation, with properties calculated at the GGA-PBE level.

Lattice parameters (Å, degrees): 6.588 6.588 4.811 87.64 87.64 40.32
Element x y z (fractional)
Te 0.268 0.268 0.244
Te 0.500 0.500 0.500
Te 0.732 0.732 0.756
Sr 0.000 0.000 0.000

## Properties
**E_tot**: -0.25569 Ry/atom
**Calculated density**: 5.79 g cm⁻³

[7]
Below is SrTe after structural relaxation, with properties calculated at the GGA-PBE level.

Lattice parameters (Å, degrees): 6.913 8.572 4.398 75.14 71.45 36.28
Element x y z (fractional)
Te 0.451 0.042 0.253
Te 0.466 0.541 0.497
Sr 0.960 0.041 0.000
Sr 0.957 0.542 0.750

## Properties
**E_tot**: -0.29528 Ry/atom
**Calculated density**: 4.89 g cm⁻³

[8]
Below is Sr2Te after structural relaxation, with properties calculated at the GGA-PBE level.

Lattice parameters (Å, degrees): 15.350 15.350 15.350 164.58 164.58 21.87
Element x y z (fractional)
Sr 0.186 0.686 0.500
Sr 0.314 0.814 0.500
Sr 0.436 0.436 0.000
Sr 0.564 0.564 0.000
Te 0.750 0.250 0.500
Te 0.000 0.000 0.000

## Properties
**E_tot**: -0.22905 Ry/atom
**Calculated density**: 3.94 g cm⁻³

[9]
Below is Sr4Te3 after structural relaxation, with properties calculated at the GGA-PBE level.

Lattice parameters (Å, degrees): 6.784 6.784 6.599 90.00 90.00 120.00
Element x y z (fractional)
Te 0.500 0.500 0.000
Te 0.000 0.500 0.000
Te 0.500 0.000 0.000
Sr 0.333 0.667 0.500
Sr 0.667 0.333 0.500
Sr 0.000 0.000 0.765
Sr 0.000 0.000 0.235

## Properties
**E above lowest polymorph**: 6.06 eV/f.u.
**Calculated density**: 4.63 g cm⁻³

[10]
Below is SrTe3 after structural relaxation, with properties calculated at the GGA-PBE level.

Lattice parameters (Å, degrees): 4.621 6.677 4.622 90.00 90.00 90.00
Element x y z (fractional)
Te 0.500 0.500 0.667
Te 0.500 0.000 0.666
Te 0.000 0.500 0.167
Sr 0.000 0.000 0.166

## Properties
**E_tot**: -0.26283 Ry/atom
**Calculated density**: 5.48 g cm⁻³

[11]
Below is Sr2Te after structural relaxation, with properties calculated at the GGA-PBE level.

Lattice parameters (Å, degrees): 5.830 5.830 3.955 90.00 90.00 120.00
Element x y z (fractional)
Sr 0.667 0.333 0.500
Sr 0.333 0.667 0.500
Te 0.000 0.000 0.000

## Properties
**E_tot**: -0.17987 Ry/atom
**Calculated density**: 4.32 g cm⁻³

[12]
Below is Sr2Te3 after structural relaxation, with properties calculated at the GGA-PBE level.

Lattice parameters (Å, degrees): 10.075 10.075 10.075 27.89 27.89 27.89
Site moments in Bohr magnetons follow the coordinates.
Element x y z (fractional)
Sr 0.601 0.601 0.601  0.04
Sr 0.399 0.399 0.399  0.04
Te 0.205 0.205 0.205  0.46
Te 0.795 0.795 0.795  0.46
Te 0.000 0.000 0.000  0.07

## Properties
**E_tot**: -0.26211 Ry/atom
**Calculated density**: 4.69 g cm⁻³

[13]
Below is Sr6Te5 after structural relaxation, with properties calculated at the GGA-PBE level.

Lattice parameters (Å, degrees): 8.166 8.164 8.165 120.00 99.61 70.50
Element x y z (fractional)
Sr 0.246 0.918 0.326
Sr 0.754 0.082 0.674
Sr 0.246 0.592 0.674
Sr 0.247 0.244 0.000
Sr 0.753 0.756 0.000
Sr 0.754 0.408 0.326
Te 0.500 0.500 0.000
Te 0.500 0.169 0.338
Te 0.000 0.666 0.332
Te 0.000 0.334 0.668
Te 0.500 0.831 0.662

## Properties
**E_tot**: -0.28536 Ry/atom
**Calculated density**: 4.35 g cm⁻³

[14]
Below is Sr2Te after structural relaxation, with properties calculated at the GGA-PBE level.

Lattice parameters (Å, degrees): 9.183 9.183 6.772 90.00 90.00 151.14
Element x y z (fractional)
Te 0.305 0.695 0.750
Te 0.695 0.305 0.250
Sr 0.331 0.669 0.250
Sr 0.062 0.938 0.250
Sr 0.938 0.062 0.750
Sr 0.669 0.331 0.750

## Properties
**E_tot**: -0.23476 Ry/atom
**Calculated density**: 3.65 g cm⁻³

[15]
Below is SrTe after structural relaxation, with properties calculated at the GGA-PBE level.

Lattice parameters (Å, degrees): 9.208 9.208 9.208 35.12 35.12 35.12
Element x y z (fractional)
Sr 0.891 0.891 0.891
Sr 0.109 0.109 0.109
Te 0.763 0.763 0.763
Te 0.237 0.237 0.237

## Properties
**E_tot**: -0.28138 Ry/atom
**Calculated density**: 3.10 g cm⁻³

[16]
Below is Sr3Te5 after structural relaxation, with properties calculated at the GGA-PBE level.

Lattice parameters (Å, degrees): 10.088 10.088 6.504 90.00 90.00 120.00
Element x y z (fractional)
Sr 0.364 0.364 0.250
Sr 0.000 0.636 0.250
Sr 0.000 0.364 0.750
Sr 0.364 0.000 0.750
Sr 0.636 0.636 0.750
Sr 0.636 0.000 0.250
Te 0.667 0.333 0.500
Te 0.333 0.667 0.500
Te 0.333 0.667 0.000
Te 0.292 0.292 0.750
Te 0.000 0.292 0.250
Te 0.667 0.333 0.000
Te 0.292 0.000 0.250
Te 0.000 0.708 0.750
Te 0.708 0.000 0.750
Te 0.708 0.708 0.250

## Properties
**E above lowest polymorph**: 0.46 eV/f.u.
**Calculated density**: 5.22 g cm⁻³

[17]
Below is SrTe8 after structural relaxation, with properties calculated at the GGA-PBE level.

Lattice parameters (Å, degrees): 7.696 7.696 7.696 97.20 97.20 138.52
Element x y z (fractional)
Te 0.351 0.649 0.000
Te 0.351 0.351 0.701
Te 0.000 0.356 0.356
Te 0.649 0.649 0.299
Te 0.649 0.351 0.000
Te 0.356 0.000 0.356
Te 0.000 0.644 0.644
Te 0.644 0.000 0.644
Sr 0.000 0.000 0.000

## Properties
**E_tot**: -0.22256 Ry/atom
**Calculated density**: 6.52 g cm⁻³

[18]
Below is SrTe after structural relaxation, with properties calculated at the GGA-PBE level.

Lattice parameters (Å, degrees): 8.421 8.421 8.421 149.81 122.90 65.95
Element x y z (fractional)
Te 0.421 0.000 0.421
Te 0.778 0.849 0.930
Te 0.081 0.151 0.930
Sr 0.384 0.650 0.733
Sr 0.083 0.350 0.733
Sr 0.748 0.500 0.248

## Properties
**E_tot**: -0.29214 Ry/atom
**Calculated density**: 4.30 g cm⁻³

[19]
Below is SrTe3 after structural relaxation, with properties calculated at the GGA-PBE level.

Lattice parameters (Å, degrees): 5.684 5.684 5.684 60.00 60.00 60.00
Site moments in Bohr magnetons follow the coordinates.
Element x y z (fractional)
Te 0.250 0.250 0.250  0.08
Te 0.750 0.750 0.750  0.08
Te 0.500 0.500 0.500  0.17
Sr 0.000 0.000 0.000  0.03

## Properties
**E_tot**: -0.23289 Ry/atom
**Calculated density**: 6.01 g cm⁻³

[20]
Below is SrTe3 after structural relaxation, with properties calculated at the GGA-PBE level.

Lattice parameters (Å, degrees): 5.385 5.385 6.632 90.00 90.00 120.00
Element x y z (fractional)
Te 0.333 0.667 0.216
Te 0.000 0.000 0.500
Te 0.333 0.667 0.784
Sr 0.000 0.000 0.000

## Properties
**E_tot**: -0.24050 Ry/atom
**Calculated density**: 4.69 g cm⁻³